<i>
# CrCu2W, optimized geometry, DFT PBE-GGA
data_CrCu2W
_cell_length_a 2.6342
_cell_length_b 2.6342
_cell_length_c 26.6394
_cell_angle_alpha 90.00
_cell_angle_beta 90.00
_cell_angle_gamma 120.00
_symmetry_space_group_name_H-M 'R -3 m'
_symmetry_Int_Tables_number 166
_symmetry_space_group_name_Hall '-R 3 2"'
loop_
_atom_site_label
_atom_site_type_symbol
_atom_site_fract_x
_atom_site_fract_y
_atom_site_fract_z
Cr1 Cr 0.0000 0.0000 0.0000
Cu1 Cu 0.0000 0.0000 0.2532
W1 W 0.0000 0.0000 0.5000
# theoretical density: 11.29 g cm⁻³

<ii>
# CrCu2W, optimized geometry, DFT PBE-GGA
data_CrCu2W
_cell_length_a 5.9578
_cell_length_b 5.9578
_cell_length_c 5.9578
_cell_angle_alpha 90.00
_cell_angle_beta 90.00
_cell_angle_gamma 90.00
_symmetry_space_group_name_H-M 'F -4 3 m'
_symmetry_Int_Tables_number 216
_symmetry_space_group_name_Hall 'F -4 2 3'
loop_
_atom_site_label
_atom_site_type_symbol
_atom_site_fract_x
_atom_site_fract_y
_atom_site_fract_z
Cr1 Cr 0.0000 0.0000 0.0000
Cu1 Cu 0.0000 0.0000 0.5000
Cu2 Cu 0.2500 0.2500 0.7500
W1 W 0.2500 0.2500 0.2500
# theoretical density: 11.40 g cm⁻³

The most stable of them is <i>.

<i>
# MgBeSi2, optimized geometry, DFT PBE-GGA
data_MgBeSi2
_cell_length_a 3.7016
_cell_length_b 4.1589
_cell_length_c 7.4507
_cell_angle_alpha 90.00
_cell_angle_beta 90.00
_cell_angle_gamma 90.00
_symmetry_space_group_name_H-M 'C m m m'
_symmetry_Int_Tables_number 65
_symmetry_space_group_name_Hall '-C 2 2'
loop_
_atom_site_label
_atom_site_type_symbol
_atom_site_fract_x
_atom_site_fract_y
_atom_site_fract_z
Mg1 Mg 0.0000 0.0000 0.0000
Be1 Be 0.0000 0.0000 0.5000
Si1 Si 0.0000 0.5000 0.2912
# theoretical density: 2.59 g cm⁻³

<ii>
# MgBeSi2, optimized geometry, DFT PBE-GGA
data_MgBeSi2
_cell_length_a 5.2795
_cell_length_b 5.5259
_cell_length_c 5.6767
_cell_angle_alpha 63.47
_cell_angle_beta 62.72
_cell_angle_gamma 86.52
_symmetry_space_group_name_H-M 'P 1'
_symmetry_Int_Tables_number 1
_symmetry_space_group_name_Hall 'P 1'
loop_
_atom_site_label
_atom_site_type_symbol
_atom_site_fract_x
_atom_site_fract_y
_atom_site_fract_z
Mg1 Mg 0.0000 0.0000 0.0000
Mg2 Mg 0.3950 0.2939 0.2299
Be1 Be 0.4123 0.7550 0.6834
Be2 Be 0.6504 0.5039 0.4743
Si1 Si 0.3608 0.7684 0.3034
Si2 Si 0.6105 0.0585 0.7575
Si3 Si 0.8610 0.7121 0.6465
Si4 Si 0.9673 0.4723 0.0536
# theoretical density: 2.29 g cm⁻³

The most stable of them is <ii>.